[1]
A geometry-optimized YOsRu4 structure, computed with PBE.

* E_tot: -212.5 eV for the cell shown

abc: 7.3071 7.3071 7.3071
angles: 90.00 90.00 90.00
Space group F-43m (No. 216)
Unique sites:
Y1 0.0000 0.0000 0.0000 x4
Os1 0.2500 0.2500 0.7500 x4
Ru1 0.1247 0.1247 0.3753 x16

---

[2]
A geometry-optimized YOs2Ru2 structure, computed with PBE.

* E_tot: -94.7 eV for the cell shown
* energy above the most stable polymorph in this dataset: 0.0 kJ/mol of formula units

abc: 4.1548 4.1548 10.5732
angles: 90.00 90.00 90.00
Space group I4/mmm (No. 139)
Unique sites:
Y1 0.0000 0.0000 0.0000 x2
Os1 0.0000 0.0000 0.3891 x4
Ru1 0.0000 0.5000 0.2500 x4

---

[3]
A geometry-optimized YOsRu structure, computed with PBE.

* E_tot: -53.4 eV for the cell shown
* energy above the most stable polymorph in this dataset: 105.5 kJ/mol of formula units

abc: 2.9501 2.9501 12.3831
angles: 90.00 90.00 90.00
Space group I4mm (No. 107)
Unique sites:
Y1 0.0000 0.0000 0.0000 x2
Os1 0.0000 0.0000 0.6860 x2
Ru1 0.0000 0.0000 0.3113 x2

---

[4]
A geometry-optimized YOs2Ru structure, computed with PBE.

* E_tot: -37.4 eV for the cell shown
* energy above the most stable polymorph in this dataset: 0.0 kJ/mol of formula units

abc: 2.9118 2.9118 7.9604
angles: 90.00 90.00 90.00
Space group P4mm (No. 99)
Unique sites:
Y1 0.0000 0.0000 0.0000 x1
Os1 0.0000 0.0000 0.4993 x1
Os2 0.5000 0.5000 0.2883 x1
Ru1 0.5000 0.5000 0.7140 x1

---

Respective mass density values: 11.6, 12.2, 11.7, 14.0 Mg/m³.
Respective formation energy values: 280, 25, 82, 199 meV/atom.